Entry 1:
BaCaGe PBE optimized geometry; raw total energy = -41.194 eV for the cell shown; energy of formation from the pure elements = -0.59 eV per atom; V = 33.9 Å³ per atom
1.0
-0.091 -0.588 5.058
0.790 -8.534 -0.977
9.224 0.824 0.262
Ba Ca Ge
4 4 4
Cartesian
1.622 -0.245 1.283 Ba
8.301 -8.053 3.059 Ba
3.385 -4.390 0.833 Ba
6.539 -3.908 3.509 Ba
4.538 -7.418 3.066 Ca
9.024 -4.858 0.880 Ca
0.899 -3.440 3.462 Ca
5.386 -0.881 1.276 Ca
8.423 -1.804 1.224 Ge
3.717 -1.993 3.681 Ge
6.206 -6.305 0.661 Ge
1.501 -6.494 3.118 Ge

=====

Entry 2:
BaCaHgGe PBE optimized geometry; raw total energy = -10.957 eV for the cell shown; energy of formation from the pure elements = -0.53 eV per atom; V = 30.8 Å³ per atom
1.0
-2.504 -4.707 -1.659
-1.791 -3.693 3.785
-5.475 -0.698 0.846
Ge Ca Hg Ba
1 1 1 1
Cartesian
-2.442 -2.275 0.743 Ge
-4.885 -4.549 1.486 Ca
-7.327 -6.824 2.229 Hg
0.000 0.000 0.000 Ba